1) This record from the Alexandria database describes a relaxed structure of LaTc2H2. The functional is GGA-PBE.

Geometry as extended XYZ:
```
10
Lattice="6.8099 0.0000 0.0000 0.0000 6.8099 0.0000 0.0000 0.0000 3.0507" Properties=species:S:1:pos:R:3 pbc="T T T"
La 0.0000 0.0000 0.0000
La 3.4049 3.4049 0.0000
Tc 0.7964 2.6086 1.5254
Tc 2.6086 6.0135 1.5254
Tc 4.2013 0.7964 1.5254
Tc 6.0135 4.2013 1.5254
H 0.7088 4.1138 0.0000
H 2.6961 0.7088 0.0000
H 4.1138 6.1010 0.0000
H 6.1010 2.6961 0.0000
```

Its total magnetic moment is 0.000 μB per formula unit.

---

2) This record from the Alexandria database describes a relaxed structure of LaTc2H2. The functional is GGA-PBE.

Geometry as extended XYZ:
```
5
Lattice="-1.8385 1.8385 5.2820 1.8385 -1.8385 5.2820 1.8385 1.8385 -5.2820" Properties=species:S:1:pos:R:3 pbc="T T T"
La 0.0000 0.0000 0.0000
Tc 1.8385 0.0000 2.6410
Tc 0.0000 1.8385 2.6410
H 0.0000 0.0000 3.6307
H 0.0000 0.0000 6.9333
```

Its total magnetic moment is 0.000 μB per formula unit.

---

The structure with the most favorable energy is 2); the runner-up is 0.349 eV/atom above it.

---

1) This record from the Alexandria database describes a relaxed structure of LaTeH2. The functional is GGA-PBE.

Geometry as extended XYZ:
```
8
Lattice="-2.3651 2.3651 7.1832 2.3651 -2.3651 7.1832 2.3651 2.3651 -7.1832" Properties=species:S:1:pos:R:3 pbc="T T T"
La 0.0000 0.0000 0.0000
La 0.0000 2.3651 3.5916
Te 2.3651 0.0000 3.5916
Te 0.0000 0.0000 7.1832
H 0.2686 1.1826 1.7958
H -1.1826 2.0966 5.3874
H -0.2686 3.5477 1.7958
H 1.1826 2.6337 5.3874
```

Its total magnetic moment is 0.000 μB per formula unit.

---

2) This record from the Alexandria database describes a relaxed structure of LaTeH2. The functional is GGA-PBE.

Geometry as extended XYZ:
```
8
Lattice="2.0391 -5.9768 0.0000 2.0391 5.9768 0.0000 0.0000 0.0000 6.5128" Properties=species:S:1:pos:R:3 pbc="T T T"
La 2.0391 3.2735 4.8846
La 2.0391 -3.2735 1.6282
Te 2.0391 5.4842 1.6282
Te 2.0391 -5.4842 4.8846
H 2.0391 2.3668 0.4665
H 2.0391 2.3668 2.7899
H 2.0391 -2.3668 3.7228
H 2.0391 -2.3668 6.0463
```

Its total magnetic moment is 0.000 μB per formula unit.

---

3) This record from the Alexandria database describes a relaxed structure of LaTeH2. The functional is GGA-PBE.

Geometry as extended XYZ:
```
8
Lattice="2.0222 -6.1029 0.0000 2.0222 6.1029 0.0000 0.0000 0.0000 6.1452" Properties=species:S:1:pos:R:3 pbc="T T T"
La 2.0222 3.8505 4.6089
La 2.0222 -3.8505 1.5363
Te 2.0222 0.4018 4.6089
Te 2.0222 -0.4018 1.5363
H 2.0222 2.8020 0.4645
H 2.0222 2.8020 2.6081
H 2.0222 -2.8020 3.5371
H 2.0222 -2.8020 5.6807
```

Its total magnetic moment is 0.000 μB per formula unit.

---

4) This record from the Alexandria database describes a relaxed structure of LaTeH2. The functional is GGA-PBE.

Geometry as extended XYZ:
```
4
Lattice="0.0000 3.2529 3.2529 3.2529 0.0000 3.2529 3.2529 3.2529 0.0000" Properties=species:S:1:pos:R:3 pbc="T T T"
La 0.0000 0.0000 0.0000
Te 3.2529 3.2529 3.2529
H 1.6264 1.6264 1.6264
H 4.8793 4.8793 4.8793
```

Its total magnetic moment is 0.000 μB per formula unit.

---

The structure with the most favorable energy is 3); the runner-up is 0.047 eV/atom above it.